# Y3TmAu2, optimized geometry, DFT PBE-GGA
data_Y3TmAu2
_cell_length_a 4.9715
_cell_length_b 8.9745
_cell_length_c 7.0800
_cell_angle_alpha 90.00
_cell_angle_beta 90.00
_cell_angle_gamma 90.00
_symmetry_space_group_name_H-M 'P m c 21'
_symmetry_Int_Tables_number 26
loop_
_symmetry_equiv_pos_as_xyz
'x,y,z'
'-x,-y,z+1/2'
'-x,y,z'
'x,-y,z+1/2'
loop_
_atom_site_label
_atom_site_fract_x
_atom_site_fract_y
_atom_site_fract_z
Y1 0.0000 0.0730 0.0000
Y2 0.0000 0.3332 0.3633
Y3 0.5000 0.1701 0.6616
Tm1 0.5000 0.4255 0.0257
Au1 0.0000 0.3489 0.7744
Au2 0.5000 0.1534 0.2511
# DFT formation energy, eV/atom: -0.64
# Excess energy over the best structure of this formula in the dataset, eV per atom: 0.000
# Energy, eV per formula unit: -34.29